TlNi2Mo | PBE | optimized geometry

## Properties
ΔH_f (0 K) = 359 meV per atom
Energy above the most stable polymorph in this dataset = 35 kJ/mol of formula units
Final energy = -23.32 eV/cell
Space group = Amm2, No. 38
Mass density = 11.61 g/cm³

Cell lengths 4.1749, 5.3205, 5.3205 Å; angles 30.36, 90.00, 90.00 degrees
Fractional coordinates of all 4 atoms:
Tl: 0.0000 0.0000 0.0000
Ni: 0.0000 0.2595 0.2595
Ni: 0.5000 0.3965 0.3965
Mo: 0.5000 0.6763 0.6763

***

TlNi2Mo | PBE | optimized geometry

## Properties
ΔH_f (0 K) = 404 meV per atom
Energy above the most stable polymorph in this dataset = 52 kJ/mol of formula units
Final energy = -23.14 eV/cell
Space group = Fm-3m, No. 225
Mass density = 11.73 g/cm³

Cell lengths 4.3729, 4.3729, 4.3729 Å; angles 60.00, 60.00, 60.00 degrees
Fractional coordinates of all 4 atoms:
Tl: 0.0000 0.0000 0.0000
Ni: 0.2500 0.2500 0.2500
Ni: 0.7500 0.7500 0.7500
Mo: 0.5000 0.5000 0.5000

***

TlNiMo2 | PBE | optimized geometry

## Properties
ΔH_f (0 K) = 367 meV per atom
Energy above the most stable polymorph in this dataset = 0 kJ/mol of formula units
Final energy = -28.34 eV/cell
Space group = P4mm, No. 99
Mass density = 11.42 g/cm³

Cell lengths 3.2618, 3.2618, 6.2202 Å; angles 90.00, 90.00, 90.00 degrees
Fractional coordinates of all 4 atoms:
Tl: 0.0000 0.0000 0.0000
Ni: 0.5000 0.5000 0.7544
Mo: 0.0000 0.0000 0.5184
Mo: 0.5000 0.5000 0.3126

***

TlNi2Mo | PBE | optimized geometry

## Properties
ΔH_f (0 K) = 439 meV per atom
Energy above the most stable polymorph in this dataset = 66 kJ/mol of formula units
Final energy = -23.00 eV/cell
Space group = Imm2, No. 44
Mass density = 11.59 g/cm³

Cell lengths 5.3646, 5.3646, 5.3646 Å; angles 149.32, 130.00, 59.81 degrees
Fractional coordinates of all 4 atoms:
Tl: 0.0000 0.0000 0.0000
Ni: 0.2570 0.7570 0.5000
Ni: 0.4797 0.4797 0.0000
Mo: 0.7197 0.2197 0.5000

***

TlNi2Mo | PBE | optimized geometry

## Properties
ΔH_f (0 K) = 268 meV per atom
Energy above the most stable polymorph in this dataset = 0 kJ/mol of formula units
Final energy = -23.69 eV/cell
Space group = P2/m, No. 10
Mass density = 11.39 g/cm³

Cell lengths 2.8795, 3.5442, 5.9694 Å; angles 90.00, 90.10, 90.00 degrees
Fractional coordinates of all 4 atoms:
Tl: 0.0000 0.0000 0.0000
Ni: 0.4990 0.5000 0.2910
Ni: 0.5010 0.5000 0.7090
Mo: 0.0000 0.0000 0.5000

***

TlNi2Mo | PBE | optimized geometry

## Properties
ΔH_f (0 K) = 731 meV per atom
Energy above the most stable polymorph in this dataset = 179 kJ/mol of formula units
Final energy = -43.67 eV/cell
Space group = I-42d, No. 122
Mass density = 10.47 g/cm³

Cell lengths 5.6190, 5.6190, 5.6190 Å; angles 104.15, 104.15, 120.75 degrees
Fractional coordinates of all 8 atoms:
Tl: 0.0000 0.0000 0.0000
Tl: 0.7500 0.2500 0.5000
Ni: 0.1524 0.6250 0.0274
Ni: 0.3750 0.4024 0.5274
Ni: 0.5976 0.1250 0.9726
Ni: 0.8750 0.8476 0.4726
Mo: 0.2500 0.7500 0.5000
Mo: 0.5000 0.5000 0.0000

***

Tl2VNiMo | PBE | optimized geometry

## Properties
ΔH_f (0 K) = 1372 meV per atom
Final energy = -23.61 eV/cell
Space group = P4/mmm, No. 123
Mass density = 7.94 g/cm³

Cell lengths 5.3969, 5.3969, 4.4094 Å; angles 90.00, 90.00, 90.00 degrees
Fractional coordinates of all 5 atoms:
Tl: 0.0000 0.5000 0.0000
Tl: 0.5000 0.0000 0.0000
V: 0.0000 0.0000 0.5000
Ni: 0.5000 0.5000 0.5000
Mo: 0.0000 0.0000 0.0000

***

Zr2TlNiMo | PBE | optimized geometry

## Properties
ΔH_f (0 K) = 1984 meV per atom
Final energy = -26.15 eV/cell
Space group = P4/mmm, No. 123
Mass density = 6.35 g/cm³

Cell lengths 5.2967, 5.2967, 5.0498 Å; angles 90.00, 90.00, 90.00 degrees
Fractional coordinates of all 5 atoms:
Zr: 0.0000 0.5000 0.0000
Zr: 0.5000 0.0000 0.0000
Tl: 0.0000 0.0000 0.0000
Ni: 0.5000 0.5000 0.5000
Mo: 0.0000 0.0000 0.5000

***

TmNi4Mo | PBE | optimized geometry

## Properties
ΔH_f (0 K) = -109 meV per atom
Final energy = -39.08 eV/cell
Space group = F-43m, No. 216
Mass density = 10.04 g/cm³

Cell lengths 4.8883, 4.8883, 4.8883 Å; angles 60.00, 60.00, 60.00 degrees
Fractional coordinates of all 6 atoms:
Tm: 0.0000 0.0000 0.0000
Ni: 0.1271 0.6243 0.6243
Ni: 0.6243 0.1271 0.6243
Ni: 0.6243 0.6243 0.1271
Ni: 0.6243 0.6243 0.6243
Mo: 0.2500 0.2500 0.2500

***

V2Ni2Mo | PBE | optimized geometry

## Properties
ΔH_f (0 K) = 266 meV per atom
Energy above the most stable polymorph in this dataset = 145 kJ/mol of formula units
Final energy = -39.30 eV/cell
Space group = I4/mmm, No. 139
Mass density = 7.79 g/cm³

Cell lengths 5.9897, 5.9897, 5.9897 Å; angles 145.92, 145.92, 48.97 degrees
Fractional coordinates of all 5 atoms:
V: 0.2500 0.7500 0.5000
V: 0.7500 0.2500 0.5000
Ni: 0.1000 0.1000 0.0000
Ni: 0.9000 0.9000 0.0000
Mo: 0.5000 0.5000 0.0000

***

V2Ni7Mo2 | PBE | optimized geometry

## Properties
ΔH_f (0 K) = 133 meV per atom
Final energy = -78.91 eV/cell
Space group = C2/m, No. 12
Mass density = 8.24 g/cm³

Cell lengths 5.8051, 5.8051, 4.3114 Å; angles 96.25, 96.25, 81.08 degrees
Fractional coordinates of all 11 atoms:
V: 0.2114 0.7886 0.0000
V: 0.7886 0.2114 0.0000
Ni: 0.0000 0.0000 0.5000
Ni: 0.0459 0.3907 0.7336
Ni: 0.3907 0.0459 0.7336
Ni: 0.4506 0.4506 0.7335
Ni: 0.5494 0.5494 0.2665
Ni: 0.6093 0.9541 0.2664
Ni: 0.9541 0.6093 0.2664
Mo: 0.2630 0.2630 0.2414
Mo: 0.7370 0.7370 0.7586

***

V2Ni2Mo | PBE | optimized geometry

## Properties
ΔH_f (0 K) = 59 meV per atom
Energy above the most stable polymorph in this dataset = 45 kJ/mol of formula units
Final energy = -80.68 eV/cell
Space group = P4/mbm, No. 127
Mass density = 8.01 g/cm³

Cell lengths 7.0328, 7.0328, 2.6428 Å; angles 90.00, 90.00, 90.00 degrees
Fractional coordinates of all 10 atoms:
V: 0.1632 0.3368 0.0000
V: 0.3368 0.8368 0.0000
V: 0.6632 0.1632 0.0000
V: 0.8368 0.6632 0.0000
Ni: 0.1312 0.6312 0.5000
Ni: 0.3688 0.1312 0.5000
Ni: 0.6312 0.8688 0.5000
Ni: 0.8688 0.3688 0.5000
Mo: 0.0000 0.0000 0.0000
Mo: 0.5000 0.5000 0.0000